Density functional theory data (PBE) for crystalline Ca2PuAg2Pd5 at its relaxed geometry.

Cell: 9.892 9.892 4.128 Å, 90.00 90.00 90.00°
Fractional coordinates of all 20 atoms:
Ca 0.170 0.330 0.000
Ca 0.330 0.830 0.000
Ca 0.670 0.170 0.000
Ca 0.830 0.670 0.000
Pu 0.000 0.000 0.000
Pu 0.500 0.500 0.000
Ag 0.126 0.626 0.000
Ag 0.374 0.126 0.000
Ag 0.626 0.874 0.000
Ag 0.874 0.374 0.000
Pd 0.000 0.500 0.500
Pd 0.064 0.799 0.500
Pd 0.201 0.064 0.500
Pd 0.299 0.564 0.500
Pd 0.436 0.299 0.500
Pd 0.500 0.000 0.500
Pd 0.564 0.701 0.500
Pd 0.701 0.436 0.500
Pd 0.799 0.936 0.500
Pd 0.936 0.201 0.500

## Properties
* spin magnetization: 10.9 μB/cell
* DFT formation energy: -0.4174 eV/atom
* space-group type: No. 127
* DOS at the Fermi energy: 1.834 states/eV per atom

Density functional theory data (PBE) for crystalline Ta2CuIr at its relaxed geometry.

Cell: 9.270 9.270 9.270 Å, 17.68 17.68 17.68°
Fractional coordinates of all 4 atoms:
Ta 0.250 0.250 0.250
Ta 0.750 0.750 0.750
Cu 0.000 0.000 0.000
Ir 0.500 0.500 0.500

## Properties
* spin magnetization: 0.0 μB/cell
* DFT formation energy: 0.0080 eV/atom
* space-group type: No. 166
* DOS at the Fermi energy: 1.172 states/eV per atom

Density functional theory data (PBE) for crystalline Cs6I2Cl2O at its relaxed geometry.

Cell: 8.502 8.502 9.286 Å, 99.36 99.36 117.79°
Fractional coordinates of all 11 atoms:
Cs 0.059 0.361 0.696
Cs 0.204 0.204 0.314
Cs 0.361 0.059 0.696
Cs 0.639 0.941 0.304
Cs 0.796 0.796 0.686
Cs 0.941 0.639 0.304
I 0.178 0.822 0.000
I 0.822 0.178 0.000
Cl 0.337 0.663 0.500
Cl 0.663 0.337 0.500
O 0.000 0.000 0.500

## Properties
* spin magnetization: 0.1 μB/cell
* energy relative to the elements, uncorrected: -1530 meV per atom
* space-group type: No. 12

Density functional theory data (PBE) for crystalline Cs3CaIn2Br9 at its relaxed geometry.

Cell: 8.172 8.172 9.988 Å, 90.00 90.00 120.00°
Fractional coordinates of all 15 atoms:
Cs 0.000 0.000 0.000
Cs 0.333 0.667 0.660
Cs 0.667 0.333 0.340
Ca 0.000 0.000 0.500
In 0.333 0.667 0.159
In 0.667 0.333 0.841
Br 0.000 0.500 0.000
Br 0.168 0.336 0.334
Br 0.168 0.832 0.334
Br 0.336 0.168 0.666
Br 0.500 0.000 0.000
Br 0.500 0.500 0.000
Br 0.664 0.832 0.334
Br 0.832 0.168 0.666
Br 0.832 0.664 0.666

## Properties
* spin magnetization: 0.0 μB/cell
* energy relative to the elements, uncorrected: -1440 meV per atom
* space-group type: No. 164
* DOS at the Fermi energy: 0.039 states/eV per atom

Density functional theory data (PBE) for crystalline CrRh2Se at its relaxed geometry.

Cell: 4.454 4.454 3.069 Å, 90.00 90.00 102.02°
Fractional coordinates of all 4 atoms:
Cr 0.000 0.000 0.000
Rh 0.000 0.500 0.500
Rh 0.500 0.000 0.500
Se 0.500 0.500 0.000

## Properties
* spin magnetization: 3.2 μB/cell
* energy relative to the elements, uncorrected: 61 meV per atom
* space-group type: No. 65
* DOS at the Fermi energy: 0.813 states/eV per atom

Density functional theory data (PBE) for crystalline TlSbIr2 at its relaxed geometry.

Cell: 4.884 4.884 4.884 Å, 126.01 126.01 79.87°
Fractional coordinates of all 4 atoms:
Tl 0.000 0.000 0.000
Sb 0.500 0.500 0.000
Ir 0.250 0.750 0.500
Ir 0.750 0.250 0.500

## Properties
* ΔE to the lowest computed polymorph: 0.52 eV/f.u.
* spin magnetization: 0.0 μB/cell
* energy relative to the elements, uncorrected: 445 meV per atom
* space-group type: No. 139
* DOS at the Fermi energy: 0.614 states/eV per atom

Density functional theory data (PBE) for crystalline Sr3IrCl2O6 at its relaxed geometry.

Cell: 7.015 7.015 5.736 Å, 95.01 95.01 58.27°
Fractional coordinates of all 12 atoms:
Sr 0.000 0.000 0.000
Sr 0.000 0.500 0.500
Sr 0.500 0.000 0.500
Ir 0.500 0.500 0.500
Cl 0.213 0.213 0.877
Cl 0.787 0.787 0.123
O 0.246 0.652 0.692
O 0.348 0.754 0.308
O 0.358 0.358 0.332
O 0.642 0.642 0.668
O 0.652 0.246 0.692
O 0.754 0.348 0.308

## Properties
* spin magnetization: 0.9 μB/cell
* energy relative to the elements, uncorrected: -1606 meV per atom
* space-group type: No. 12
* DOS at the Fermi energy: 0.437 states/eV per atom

Density functional theory data (PBE) for crystalline ScReRu2 at its relaxed geometry.

Cell: 9.125 9.125 9.125 Å, 17.87 17.87 17.87°
Fractional coordinates of all 4 atoms:
Sc 0.000 0.000 0.000
Re 0.757 0.757 0.757
Ru 0.249 0.249 0.249
Ru 0.501 0.501 0.501

## Properties
* spin magnetization: 0.0 μB/cell
* DFT formation energy: 0.1670 eV/atom
* space-group type: No. 160
* DOS at the Fermi energy: 1.096 states/eV per atom

Density functional theory data (PBE) for crystalline La2YScTl at its relaxed geometry.

Cell: 6.054 6.054 5.468 Å, 90.00 90.00 90.00°
Fractional coordinates of all 5 atoms:
La 0.000 0.500 0.000
La 0.500 0.000 0.000
Y 0.000 0.000 0.500
Sc 0.500 0.500 0.500
Tl 0.500 0.500 0.000

## Properties
* ΔE to the lowest computed polymorph: 0.00 eV/f.u.
* spin magnetization: 2.1 μB/cell
* DFT formation energy: 0.4265 eV/atom
* space-group type: No. 123
* DOS at the Fermi energy: 1.964 states/eV per atom

Density functional theory data (PBE) for crystalline ZrSeNCl2 at its relaxed geometry.

Cell: 5.116 5.116 5.158 Å, 90.00 90.00 90.00°
Fractional coordinates of all 5 atoms:
Zr 0.000 0.000 0.000
Se 0.000 0.000 0.500
N 0.500 0.500 0.500
Cl 0.000 0.500 0.000
Cl 0.500 0.000 0.000

## Properties
* spin magnetization: 3.0 μB/cell
* energy relative to the elements, uncorrected: -53 meV per atom
* space-group type: No. 123
* DOS at the Fermi energy: 0.000 states/eV per atom

Density functional theory data (PBE) for crystalline ScSi2Ir4 at its relaxed geometry.

Cell: 16.366 3.924 6.491 Å, 90.00 90.00 90.00°
Fractional coordinates of all 28 atoms:
Sc 0.138 0.250 0.025
Sc 0.362 0.750 0.525
Sc 0.638 0.250 0.475
Sc 0.862 0.750 0.975
Si 0.044 0.750 0.251
Si 0.228 0.250 0.532
Si 0.272 0.750 0.032
Si 0.456 0.250 0.751
Si 0.544 0.750 0.249
Si 0.728 0.250 0.968
Si 0.772 0.750 0.468
Si 0.956 0.250 0.749
Ir 0.029 0.750 0.849
Ir 0.081 0.250 0.535
Ir 0.186 0.750 0.324
Ir 0.189 0.750 0.739
Ir 0.311 0.250 0.239
Ir 0.314 0.250 0.824
Ir 0.419 0.750 0.035
Ir 0.471 0.250 0.349
Ir 0.529 0.750 0.651
Ir 0.581 0.250 0.965
Ir 0.686 0.750 0.176
Ir 0.689 0.750 0.761
Ir 0.811 0.250 0.261
Ir 0.814 0.250 0.676
Ir 0.919 0.750 0.465
Ir 0.971 0.250 0.151

## Properties
* ΔE to the lowest computed polymorph: 0.00 eV/f.u.
* spin magnetization: 0.0 μB/cell
* energy relative to the elements, uncorrected: -762 meV per atom
* space-group type: No. 62
* DOS at the Fermi energy: 0.362 states/eV per atom

Density functional theory data (PBE) for crystalline Ca2NbNiBr at its relaxed geometry.

Cell: 6.012 6.012 4.427 Å, 90.00 90.00 90.00°
Fractional coordinates of all 5 atoms:
Ca 0.000 0.500 0.000
Ca 0.500 0.000 0.000
Nb 0.000 0.000 0.000
Ni 0.000 0.000 0.500
Br 0.500 0.500 0.500

## Properties
* spin magnetization: 2.4 μB/cell
* energy relative to the elements, uncorrected: 449 meV per atom
* space-group type: No. 123
* DOS at the Fermi energy: 0.717 states/eV per atom

Density functional theory data (PBE) for crystalline Tb4SmAl2 at its relaxed geometry.

Cell: 8.450 8.450 8.450 Å, 36.67 36.67 36.67°
Fractional coordinates of all 7 atoms:
Tb 0.082 0.082 0.082
Tb 0.346 0.346 0.346
Tb 0.654 0.654 0.654
Tb 0.918 0.918 0.918
Sm 0.500 0.500 0.500
Al 0.218 0.218 0.218
Al 0.782 0.782 0.782

## Properties
* ΔE to the lowest computed polymorph: 0.00 eV/f.u.
* spin magnetization: 0.0 μB/cell
* DFT formation energy: -0.2006 eV/atom
* space-group type: No. 166
* DOS at the Fermi energy: 0.658 states/eV per atom

Density functional theory data (PBE) for crystalline SrHf2GaAu at its relaxed geometry.

Cell: 5.001 5.001 5.733 Å, 90.00 90.00 90.00°
Fractional coordinates of all 5 atoms:
Sr 0.000 0.000 0.000
Hf 0.000 0.500 0.500
Hf 0.500 0.000 0.500
Ga 0.000 0.000 0.500
Au 0.500 0.500 0.000

## Properties
* spin magnetization: 0.0 μB/cell
* DFT formation energy: 0.5683 eV/atom
* space-group type: No. 123
* DOS at the Fermi energy: 1.840 states/eV per atom

Density functional theory data (PBE) for crystalline HfGa2Se at its relaxed geometry.

Cell: 6.086 6.086 6.086 Å, 101.58 101.58 126.76°
Fractional coordinates of all 8 atoms:
Hf 0.000 0.000 0.000
Hf 0.750 0.250 0.500
Ga 0.130 0.625 0.005
Ga 0.375 0.380 0.505
Ga 0.620 0.125 0.995
Ga 0.875 0.870 0.495
Se 0.250 0.750 0.500
Se 0.500 0.500 0.000

## Properties
* spin magnetization: 0.0 μB/cell
* energy relative to the elements, uncorrected: -77 meV per atom
* space-group type: No. 122
* DOS at the Fermi energy: 0.712 states/eV per atom

Density functional theory data (PBE) for crystalline ReSn2OF at its relaxed geometry.

Cell: 5.180 5.180 3.938 Å, 90.00 90.00 90.00°
Fractional coordinates of all 5 atoms:
Re 0.000 0.000 0.000
Sn 0.000 0.500 0.000
Sn 0.500 0.000 0.000
O 0.500 0.500 0.500
F 0.000 0.000 0.500

## Properties
* spin magnetization: 0.0 μB/cell
* energy relative to the elements, uncorrected: 112 meV per atom
* space-group type: No. 123
* DOS at the Fermi energy: 0.950 states/eV per atom

Density functional theory data (PBE) for crystalline CaOsI2 at its relaxed geometry.

Cell: 5.251 5.251 5.251 Å, 60.00 60.00 60.00°
Fractional coordinates of all 4 atoms:
Ca 0.000 0.000 0.000
Os 0.500 0.500 0.500
I 0.250 0.250 0.250
I 0.750 0.750 0.750

## Properties
* ΔE to the lowest computed polymorph: 0.66 eV/f.u.
* spin magnetization: 2.3 μB/cell
* energy relative to the elements, uncorrected: 533 meV per atom
* space-group type: No. 225
* DOS at the Fermi energy: 1.103 states/eV per atom

Density functional theory data (PBE) for crystalline Sc4MoPb at its relaxed geometry.

Cell: 5.703 5.703 5.703 Å, 60.00 60.00 60.00°
Fractional coordinates of all 6 atoms:
Sc 0.123 0.123 0.123
Sc 0.123 0.123 0.632
Sc 0.123 0.632 0.123
Sc 0.632 0.123 0.123
Mo 0.750 0.750 0.750
Pb 0.500 0.500 0.500

## Properties
* spin magnetization: 0.0 μB/cell
* DFT formation energy: 0.4134 eV/atom
* space-group type: No. 216
* DOS at the Fermi energy: 1.254 states/eV per atom

Density functional theory data (PBE) for crystalline Tl2HgIr at its relaxed geometry.

Cell: 10.143 10.143 10.143 Å, 18.64 18.64 18.64°
Fractional coordinates of all 4 atoms:
Tl 0.000 0.000 0.000
Tl 0.234 0.234 0.234
Hg 0.759 0.759 0.759
Ir 0.497 0.497 0.497

## Properties
* ΔE to the lowest computed polymorph: 0.71 eV/f.u.
* spin magnetization: 0.0 μB/cell
* DFT formation energy: 0.4248 eV/atom
* space-group type: No. 160
* DOS at the Fermi energy: 0.512 states/eV per atom

Density functional theory data (PBE) for crystalline KBa2Re at its relaxed geometry.

Cell: 3.827 4.886 10.126 Å, 90.00 95.24 90.00°
Fractional coordinates of all 4 atoms:
K 0.000 0.000 0.000
Ba 0.422 0.500 0.643
Ba 0.585 0.000 0.355
Re 0.063 0.500 0.386

## Properties
* ΔE to the lowest computed polymorph: 1.04 eV/f.u.
* spin magnetization: 0.0 μB/cell
* DFT formation energy: 1.1009 eV/atom
* space-group type: No. 6
* DOS at the Fermi energy: 1.129 states/eV per atom

Density functional theory data (PBE) for crystalline La3Ag2 at its relaxed geometry.

Cell: 12.423 12.423 12.423 Å, 17.81 17.81 17.81°
Fractional coordinates of all 5 atoms:
La 0.000 0.000 0.000
La 0.207 0.207 0.207
La 0.793 0.793 0.793
Ag 0.396 0.396 0.396
Ag 0.604 0.604 0.604

## Properties
* ΔE to the lowest computed polymorph: 0.86 eV/f.u.
* spin magnetization: 0.0 μB/cell
* DFT formation energy: -0.0308 eV/atom
* space-group type: No. 166
* DOS at the Fermi energy: 1.207 states/eV per atom

Density functional theory data (PBE) for crystalline As2OsBrF at its relaxed geometry.

Cell: 4.708 4.708 5.247 Å, 90.00 90.00 90.00°
Fractional coordinates of all 5 atoms:
As 0.000 0.500 0.000
As 0.500 0.000 0.000
Os 0.000 0.000 0.000
Br 0.000 0.000 0.500
F 0.500 0.500 0.500

## Properties
* ΔE to the lowest computed polymorph: 0.00 eV/f.u.
* spin magnetization: 0.0 μB/cell
* energy relative to the elements, uncorrected: 295 meV per atom
* space-group type: No. 123
* DOS at the Fermi energy: 1.202 states/eV per atom

Density functional theory data (PBE) for crystalline LiYZnSe2 at its relaxed geometry.

Cell: 4.698 4.698 4.931 Å, 90.00 90.00 90.00°
Fractional coordinates of all 5 atoms:
Li 0.000 0.000 0.000
Y 0.000 0.000 0.500
Zn 0.500 0.500 0.500
Se 0.000 0.500 0.000
Se 0.500 0.000 0.000

## Properties
* spin magnetization: 0.1 μB/cell
* energy relative to the elements, uncorrected: -190 meV per atom
* space-group type: No. 123
* DOS at the Fermi energy: 0.520 states/eV per atom

Density functional theory data (PBE) for crystalline MnCoP at its relaxed geometry.

Cell: 4.781 4.781 4.781 Å, 146.77 146.77 47.71°
Fractional coordinates of all 3 atoms:
Mn 0.000 0.000 0.000
Co 0.296 0.296 0.000
P 0.651 0.651 0.000

## Properties
* spin magnetization: 2.2 μB/cell
* DFT formation energy: -0.1771 eV/atom
* space-group type: No. 107
* DOS at the Fermi energy: 0.739 states/eV per atom

Density functional theory data (PBE) for crystalline Ho8Tm6Sc at its relaxed geometry.

Cell: 9.686 9.686 5.671 Å, 90.00 90.00 120.00°
Fractional coordinates of all 15 atoms:
Ho 0.051 0.780 0.233
Ho 0.220 0.271 0.233
Ho 0.271 0.051 0.767
Ho 0.333 0.667 0.235
Ho 0.667 0.333 0.765
Ho 0.729 0.949 0.233
Ho 0.780 0.729 0.767
Ho 0.949 0.220 0.767
Tm 0.092 0.621 0.742
Tm 0.379 0.471 0.742
Tm 0.471 0.092 0.258
Tm 0.529 0.908 0.742
Tm 0.621 0.529 0.258
Tm 0.908 0.379 0.258
Sc 0.000 0.000 0.500

## Properties
* ΔE to the lowest computed polymorph: 0.36 eV/f.u.
* spin magnetization: 0.0 μB/cell
* DFT formation energy: 0.1499 eV/atom
* space-group type: No. 147
* DOS at the Fermi energy: 1.629 states/eV per atom